Record 1
An optimized crystal structure of Sr3ZrSb, computed with PBE.

Cell lengths 6.240, 6.240, 6.240 Å; angles 90.00, 90.00, 90.00 degrees
Fractional coordinates of all 5 atoms:
Sr 0.000 0.000 0.500
Sr 0.000 0.500 0.000
Sr 0.500 0.000 0.000
Zr 0.500 0.500 0.500
Sb 0.000 0.000 0.000

## Properties
- SG: Pm-3m
- Offset from the most stable computed form: 0.0000 eV/atom

***

Record 2
An optimized crystal structure of Sr2ZnCu3Sb4, computed with PBE.

Cell lengths 4.644, 4.644, 10.957 Å; angles 90.00, 90.00, 90.00 degrees
Fractional coordinates of all 10 atoms:
Sr 0.000 0.500 0.248
Sr 0.500 0.000 0.752
Zn 0.500 0.500 0.000
Cu 0.000 0.000 0.000
Cu 0.000 0.500 0.629
Cu 0.500 0.000 0.371
Sb 0.000 0.000 0.500
Sb 0.000 0.500 0.865
Sb 0.500 0.000 0.135
Sb 0.500 0.500 0.500

## Properties
- SG: P-4m2

***

Record 3
An optimized crystal structure of Ce6Ni20As13, computed with PBE.

Cell lengths 13.173, 13.173, 3.954 Å; angles 90.00, 90.00, 120.00 degrees
Fractional coordinates of all 39 atoms:
Ce 0.049 0.197 0.000
Ce 0.148 0.951 0.000
Ce 0.521 0.389 0.500
Ce 0.611 0.132 0.500
Ce 0.803 0.852 0.000
Ce 0.868 0.479 0.500
Ni 0.000 0.000 0.500
Ni 0.010 0.420 0.000
Ni 0.091 0.738 0.500
Ni 0.188 0.604 0.500
Ni 0.221 0.469 0.000
Ni 0.247 0.779 0.000
Ni 0.262 0.354 0.500
Ni 0.310 0.233 0.000
Ni 0.357 0.103 0.500
Ni 0.396 0.585 0.500
Ni 0.410 0.990 0.000
Ni 0.415 0.812 0.500
Ni 0.531 0.753 0.000
Ni 0.580 0.590 0.000
Ni 0.646 0.909 0.500
Ni 0.667 0.333 0.000
Ni 0.746 0.643 0.500
Ni 0.767 0.077 0.000
Ni 0.897 0.254 0.500
Ni 0.923 0.690 0.000
As 0.057 0.620 0.000
As 0.101 0.393 0.500
As 0.199 0.148 0.500
As 0.292 0.899 0.500
As 0.333 0.667 0.000
As 0.380 0.437 0.000
As 0.467 0.191 0.000
As 0.563 0.943 0.000
As 0.607 0.708 0.500
As 0.724 0.533 0.000
As 0.809 0.276 0.000
As 0.852 0.052 0.500
As 0.948 0.801 0.500

## Properties
- SG: P-6
- Formation enthalpy at 0 K: -27.0 eV/f.u.

***

Record 4
An optimized crystal structure of Tb5Pm3Te8, computed with PBE.

Cell lengths 8.824, 8.824, 8.824 Å; angles 59.89, 59.89, 59.89 degrees
Fractional coordinates of all 16 atoms:
Tb 0.000 0.000 0.000
Tb 0.000 0.500 0.500
Tb 0.500 0.000 0.500
Tb 0.500 0.500 0.000
Tb 0.500 0.500 0.500
Pm 0.000 0.000 0.500
Pm 0.000 0.500 0.000
Pm 0.500 0.000 0.000
Te 0.250 0.250 0.745
Te 0.250 0.745 0.250
Te 0.253 0.253 0.253
Te 0.255 0.750 0.750
Te 0.745 0.250 0.250
Te 0.747 0.747 0.747
Te 0.750 0.255 0.750
Te 0.750 0.750 0.255

## Properties
- SG: R-3m

***

Number 1: magnetic moment 4.8 μB per cell, E_tot -3.251 eV/atom. Number 2: magnetic moment 0.0 μB per cell, E_tot -3.776 eV/atom. Number 3: magnetic moment 0.1 μB per cell, E_tot -6.119 eV/atom. Number 4: magnetic moment 0.0 μB per cell, E_tot -5.252 eV/atom.